Computed, not measured: a relaxed structure of Rb2CrH at the GGA-PBE level of DFT.

total energy = -3.05 eV per atom
SG = I-42d
crystal system = tetragonal
energy above the lowest structure with this stoichiometry = 0 meV per atom
total moment = 1.258 μB/atom

abc: 8.5236 8.5236 7.6527
angles: 56.16 56.16 90.00
Closest atoms and distances in Å follow each position.
Sites, in units of the cell vectors:
Rb 0.3750 0.4714 0.7500  2 H 2.77
Rb 0.2214 0.6250 0.2500  2 H 2.77
Rb 0.8750 0.7786 0.7500  2 H 2.77
Rb 0.5286 0.1250 0.2500  2 H 2.77
Cr 0.0000 0.0000 0.0000  4 Rb 3.83
Cr 0.7500 0.2500 0.5000  4 Rb 3.83
H 0.2500 0.7500 0.5000  4 Rb 2.77
H 0.5000 0.5000 0.0000  4 Rb 2.77

Computed, not measured: a relaxed structure of Rb2CrH5 at the GGA-PBE level of DFT.

total energy = -3.65 eV per atom
SG = P4/mmm
crystal system = tetragonal
total moment = 0.375 μB/atom

abc: 3.6619 6.2602 6.2602
angles: 90.00 90.00 90.00
Closest atoms and distances in Å follow each position.
Sites, in units of the cell vectors:
H 0.0000 0.1967 0.8033  1 Cr 1.74
H 0.5000 0.0000 0.0000  2 Cr 1.83
H 0.0000 0.1967 0.1967  1 Cr 1.74
H 0.0000 0.8033 0.1967  1 Cr 1.74
H 0.0000 0.8033 0.8033  1 Cr 1.74
Cr 0.0000 0.0000 0.0000  6 H 1.74-1.83
Rb 0.5000 0.0000 0.5000  10 H 2.91-3.13
Rb 0.5000 0.5000 0.0000  10 H 2.91-3.13

Computed, not measured: a relaxed structure of Rb2CrH6 at the GGA-PBE level of DFT.

total energy = -3.50 eV per atom
SG = P6_3mc
crystal system = hexagonal
total moment = 0.222 μB/atom

abc: 6.1801 6.1801 8.8458
angles: 90.00 90.00 120.00
Closest atoms and distances in Å follow each position.
Sites, in units of the cell vectors:
Rb 0.0000 0.0000 0.5996  12 H 2.86-3.20
Rb 0.0000 0.0000 0.0996  12 H 2.86-3.20
Rb 0.3333 0.6667 0.8595  12 H 2.89-3.10
Rb 0.6667 0.3333 0.3595  12 H 2.89-3.10
H 0.8817 0.4409 0.6597  1 Cr 1.65
H 0.5591 0.4409 0.6597  1 Cr 1.65
H 0.4409 0.5591 0.1597  1 Cr 1.65
H 0.5591 0.1183 0.6597  1 Cr 1.65
H 0.1798 0.8202 0.3393  1 Cr 1.69
H 0.8202 0.6403 0.8393  1 Cr 1.69
H 0.3597 0.1798 0.8393  1 Cr 1.69
H 0.6403 0.8202 0.3393  1 Cr 1.69
H 0.8202 0.1798 0.8393  1 Cr 1.69
H 0.4409 0.8817 0.1597  1 Cr 1.65
H 0.1183 0.5591 0.1597  1 Cr 1.65
H 0.1798 0.3597 0.3393  1 Cr 1.69
Cr 0.3333 0.6667 0.2938  6 H 1.65-1.69
Cr 0.6667 0.3333 0.7938  6 H 1.65-1.69

- Look up the total energy of the first one.
  -3.05 eV per atom

- Which formula does entry 1 have?
  Rb2CrH

- What is the formula in the second record?
  Rb2CrH5

- Which value of total moment does entry 3 give?
  0.222 μB/atom